[1]
# NaTaSnOs

A relaxed NaTaSnOs crystal (GGA-PBE, OQMD).

```
NaTaSnOs
1.0
4.0441 -1.1305 1.8793
1.9720 2.8000 3.0717
0.2153 -1.2297 4.4278
Na Os Sn Ta
1 1 1 1
Direct
0.7500 0.7500 0.7500 Na
0.2500 0.2500 0.2500 Os
0.0000 0.0000 0.0000 Sn
0.5000 0.5000 0.5000 Ta
```

Summary:
E: -6.972 eV/atom


[2]
# SmY2Zn2Si4Au2

A relaxed SmY2Zn2Si4Au2 crystal (GGA-PBE, OQMD).

```
SmY2Zn2Si4Au2
1.0
1.8167 -10.1460 7.3899
1.9135 -5.6458 11.1945
-4.7779 7.6328 -8.9311
Au Si Sm Y Zn
2 4 1 2 2
Direct
0.2508 0.2508 0.0000 Au
0.7492 0.7492 0.0000 Au
0.4523 0.4523 0.0000 Si
0.5477 0.5477 0.0000 Si
0.8113 0.3113 0.5000 Si
0.1887 0.6887 0.5000 Si
0.0000 0.0000 0.0000 Sm
0.6442 0.1442 0.5000 Y
0.3558 0.8558 0.5000 Y
0.9059 0.4059 0.5000 Zn
0.0941 0.5941 0.5000 Zn
```

Summary:
E: -5.007 eV/atom


[3]
# ErNbAs

A relaxed ErNbAs crystal (GGA-PBE, OQMD).

```
ErNbAs
1.0
0.0000 3.2091 3.2091
3.2091 0.0000 3.2091
3.2091 3.2091 0.0000
As Er Nb
1 1 1
Direct
0.0000 0.0000 0.0000 As
0.2500 0.2500 0.2500 Er
0.7500 0.7500 0.7500 Nb
```

Summary:
E: -6.760 eV/atom


[4]
# Ba2ZnSn

A relaxed Ba2ZnSn crystal (GGA-PBE, OQMD).

```
Ba2ZnSn
1.0
-1.4910 -5.4241 1.4441
-3.0692 -0.9790 4.8323
-5.5455 -1.6842 -0.3734
Ba Sn Zn
2 1 1
Direct
0.2500 0.2500 0.2500 Ba
0.5000 0.5000 0.5000 Ba
0.0000 0.0000 0.0000 Sn
0.7500 0.7500 0.7500 Zn
```

Summary:
E: -2.381 eV/atom


[5]
# KSi2Au2

A relaxed KSi2Au2 crystal (GGA-PBE, OQMD).

```
KSi2Au2
1.0
4.1395 -4.1949 -2.1691
2.6058 -3.9611 4.1179
-5.7762 1.9689 -1.4823
Au K Si
2 1 2
Direct
0.3515 0.3515 0.0000 Au
0.6485 0.6485 0.0000 Au
0.0000 0.0000 0.0000 K
0.7500 0.2500 0.5000 Si
0.2500 0.7500 0.5000 Si
```

Summary:
E: -3.773 eV/atom


[6]
# CsRbCuAs

A relaxed CsRbCuAs crystal (GGA-PBE, OQMD).

```
CsRbCuAs
1.0
6.6962 0.0000 0.0000
0.0000 6.4757 0.0000
-2.3439 0.0000 6.3263
As Cs Cu Rb
2 2 2 2
Direct
0.2171 0.2500 0.2286 As
0.7829 0.7500 0.7714 As
0.5106 0.7500 0.1768 Cs
0.4894 0.2500 0.8232 Cs
0.0000 0.0000 0.0000 Cu
0.0000 0.5000 0.0000 Cu
0.8272 0.2500 0.4931 Rb
0.1728 0.7500 0.5069 Rb
```

Summary:
E: -2.854 eV/atom


[7]
# Sc3Pt2

A relaxed Sc3Pt2 crystal (GGA-PBE, OQMD).

```
Sc3Pt2
1.0
4.5659 0.0000 0.0000
-2.2829 3.9542 0.0000
0.0000 0.0000 5.6204
Pt Sc
2 3
Direct
0.3333 0.6667 0.1684 Pt
0.6667 0.3333 0.8316 Pt
0.0000 0.0000 0.0000 Sc
0.6667 0.3333 0.3419 Sc
0.3333 0.6667 0.6581 Sc
```

Summary:
DFT formation energy: -5.34 eV per formula unit


[8]
# Cu3Ag

A relaxed Cu3Ag crystal (GGA-PBE, OQMD).

```
Cu3Ag
1.0
2.7164 0.0000 0.0000
0.0000 3.5652 0.0000
0.0000 0.0000 10.9930
Ag Cu
2 6
Direct
0.5000 0.0000 0.1352 Ag
0.5000 0.0000 0.8648 Ag
0.0000 0.5000 0.0000 Cu
0.0000 0.5000 0.2725 Cu
0.5000 0.0000 0.3852 Cu
0.0000 0.5000 0.5000 Cu
0.5000 0.0000 0.6148 Cu
0.0000 0.5000 0.7275 Cu
```

Summary:
DFT formation energy: 0.29 eV per formula unit


[9]
# NbCoAgB

A relaxed NbCoAgB crystal (GGA-PBE, OQMD).

```
NbCoAgB
1.0
0.0000 2.9881 2.9881
2.9881 0.0000 2.9881
2.9881 2.9881 0.0000
Ag B Co Nb
1 1 1 1
Direct
0.2500 0.2500 0.2500 Ag
0.0000 0.0000 0.0000 B
0.7500 0.7500 0.7500 Co
0.5000 0.5000 0.5000 Nb
```

Summary:
E: -5.940 eV/atom


[10]
# TaCoHgSb

A relaxed TaCoHgSb crystal (GGA-PBE, OQMD).

```
TaCoHgSb
1.0
-3.4054 -1.9956 2.5902
-4.5182 1.1386 -0.7605
-2.9271 -3.1400 -1.9650
Co Hg Sb Ta
1 1 1 1
Direct
0.7500 0.7500 0.7500 Co
0.2500 0.2500 0.2500 Hg
0.0000 0.0000 0.0000 Sb
0.5000 0.5000 0.5000 Ta
```

Summary:
E: -5.144 eV/atom


[11]
# Pr2Y2CBr2Cl3

A relaxed Pr2Y2CBr2Cl3 crystal (GGA-PBE, OQMD).

```
Pr2Y2CBr2Cl3
1.0
9.0144 -1.8967 0.0000
9.0144 1.8967 0.0000
-1.9366 0.0000 7.7081
Br C Cl Pr Y
2 1 3 2 2
Direct
0.8339 0.8339 0.1933 Br
0.1661 0.1661 0.8067 Br
0.5000 0.5000 0.0000 C
0.1540 0.1540 0.3569 Cl
0.5000 0.5000 0.5000 Cl
0.8460 0.8460 0.6431 Cl
0.6455 0.6455 0.0867 Pr
0.3545 0.3545 0.9133 Pr
0.9998 0.9998 0.2093 Y
0.0002 0.0002 0.7907 Y
```

Summary:
E: -5.644 eV/atom


[12]
# NdScZn

A relaxed NdScZn crystal (GGA-PBE, OQMD).

```
NdScZn
1.0
2.2240 -0.3692 4.3170
2.4822 3.7876 1.7924
-1.7247 2.4421 3.8446
Nd Sc Zn
1 1 1
Direct
0.7500 0.7500 0.7500 Nd
0.2500 0.2500 0.2500 Sc
0.0000 0.0000 0.0000 Zn
```

Summary:
DFT formation energy: 0.15 eV per formula unit


[13]
# Cu31Te3

A relaxed Cu31Te3 crystal (GGA-PBE, OQMD).

```
Cu31Te3
1.0
-5.4851 3.9136 0.1679
-1.4601 -3.0372 7.9526
9.8183 12.5138 5.7921
Cu Te
62 6
Direct
0.0279 0.2759 0.1301 Cu
0.6694 0.1923 0.1477 Cu
0.6640 0.6949 0.1552 Cu
0.3084 0.6120 0.1731 Cu
0.3055 0.1122 0.1750 Cu
0.9423 0.0213 0.1935 Cu
0.9461 0.5291 0.1995 Cu
0.5927 0.4436 0.2212 Cu
0.5898 0.9487 0.2329 Cu
0.2308 0.8618 0.2451 Cu
0.2381 0.3648 0.2498 Cu
0.8811 0.2775 0.2679 Cu
0.8792 0.7820 0.2757 Cu
0.5218 0.6957 0.2965 Cu
0.5244 0.2018 0.2986 Cu
0.1680 0.1135 0.3177 Cu
0.1685 0.6166 0.3209 Cu
0.8111 0.5302 0.3424 Cu
0.8146 0.0365 0.3457 Cu
0.4540 0.9507 0.3687 Cu
0.4563 0.4522 0.3691 Cu
0.1005 0.3677 0.3907 Cu
0.1015 0.8695 0.3928 Cu
0.7451 0.7867 0.4157 Cu
0.7468 0.2881 0.4166 Cu
0.3886 0.2050 0.4405 Cu
0.3888 0.7050 0.4410 Cu
0.0319 0.6221 0.4638 Cu
0.0347 0.1236 0.4641 Cu
0.6775 0.0408 0.4879 Cu
0.6781 0.5415 0.4880 Cu
0.3219 0.4585 0.5120 Cu
0.3225 0.9592 0.5121 Cu
0.9653 0.8764 0.5359 Cu
0.9681 0.3779 0.5362 Cu
0.6112 0.2950 0.5590 Cu
0.6114 0.7950 0.5595 Cu
0.2532 0.7119 0.5834 Cu
0.2549 0.2133 0.5843 Cu
0.8985 0.1305 0.6072 Cu
0.8995 0.6323 0.6093 Cu
0.5437 0.5478 0.6309 Cu
0.5460 0.0493 0.6313 Cu
0.1854 0.9635 0.6543 Cu
0.1889 0.4698 0.6576 Cu
0.8315 0.3834 0.6791 Cu
0.8320 0.8865 0.6823 Cu
0.4756 0.7982 0.7014 Cu
0.4782 0.3043 0.7035 Cu
0.1208 0.2180 0.7243 Cu
0.1189 0.7225 0.7321 Cu
0.7619 0.6352 0.7502 Cu
0.7692 0.1382 0.7549 Cu
0.4102 0.0513 0.7671 Cu
0.4073 0.5564 0.7788 Cu
0.0539 0.4709 0.8005 Cu
0.0577 0.9787 0.8065 Cu
0.6945 0.8878 0.8250 Cu
0.6916 0.3881 0.8269 Cu
0.3360 0.3051 0.8448 Cu
0.3306 0.8077 0.8523 Cu
0.9721 0.7241 0.8699 Cu
0.5102 0.9255 0.0827 Te
0.3857 0.3682 0.0836 Te
0.0211 0.7618 0.1058 Te
0.9789 0.2382 0.8942 Te
0.6143 0.6317 0.9164 Te
0.4898 0.0745 0.9173 Te
```

Summary:
E: -3.626 eV/atom


[14]
# Ga2GeIr

A relaxed Ga2GeIr crystal (GGA-PBE, OQMD).

```
Ga2GeIr
1.0
-3.4878 -2.8335 0.1174
-0.7136 -2.5365 3.6420
-3.5024 0.8566 2.6846
Ga Ge Ir
2 1 1
Direct
0.0000 0.0000 0.0000 Ga
0.2500 0.2500 0.2500 Ga
0.7500 0.7500 0.7500 Ge
0.5000 0.5000 0.5000 Ir
```

Summary:
E: -4.795 eV/atom


[15]
# PmZr

A relaxed PmZr crystal (GGA-PBE, OQMD).

```
PmZr
1.0
5.8930 0.0000 0.0000
0.0000 10.4103 0.0000
0.0000 0.0000 5.4797
Pm Zr
6 6
Direct
0.4898 0.1581 0.0000 Pm
0.9898 0.6752 0.0000 Pm
0.8563 0.1578 0.5000 Pm
0.3220 0.3394 0.5000 Pm
0.8220 0.4939 0.5000 Pm
0.3563 0.6755 0.5000 Pm
0.9985 0.3390 0.0000 Zr
0.4985 0.4944 0.0000 Zr
0.5173 0.8447 0.0000 Zr
0.0173 0.9886 0.0000 Zr
0.8160 0.8545 0.5000 Zr
0.3160 0.9789 0.5000 Zr
```

Summary:
DFT formation energy: 0.27 eV per formula unit


[16]
# Zr3Al3PdPt2

A relaxed Zr3Al3PdPt2 crystal (GGA-PBE, OQMD).

```
Zr3Al3PdPt2
1.0
-4.1363 -5.4445 -2.2230
5.1309 2.6084 -4.3085
2.3607 -2.3584 1.3835
Al Pd Pt Zr
3 1 2 3
Direct
0.7421 0.0000 0.5000 Al
0.2579 0.2579 0.5000 Al
0.0000 0.7421 0.5000 Al
0.0000 0.0000 0.0000 Pd
0.6667 0.3333 0.5000 Pt
0.3333 0.6667 0.5000 Pt
0.4043 0.0000 0.0000 Zr
0.0000 0.4043 0.0000 Zr
0.5957 0.5957 0.0000 Zr
```

Summary:
E: -6.973 eV/atom


[17]
# CsZrCuSe2S

A relaxed CsZrCuSe2S crystal (GGA-PBE, OQMD).

```
CsZrCuSe2S
1.0
1.9540 -8.0438 0.0000
1.9540 8.0438 0.0000
0.0000 0.0000 10.0454
Cs Cu S Se Zr
2 2 2 4 2
Direct
0.2625 0.7375 0.2500 Cs
0.7375 0.2625 0.7500 Cs
0.5297 0.4703 0.2500 Cu
0.4703 0.5297 0.7500 Cu
0.9488 0.0512 0.2500 S
0.0512 0.9488 0.7500 S
0.6148 0.3852 0.0500 Se
0.6148 0.3852 0.4500 Se
0.3852 0.6148 0.5500 Se
0.3852 0.6148 0.9500 Se
0.0000 0.0000 0.0000 Zr
0.0000 0.0000 0.5000 Zr
```

Summary:
E: -5.219 eV/atom


[18]
# SrBeMoOs

A relaxed SrBeMoOs crystal (GGA-PBE, OQMD).

```
SrBeMoOs
1.0
0.0000 3.2201 3.2201
3.2201 0.0000 3.2201
3.2201 3.2201 0.0000
Be Mo Os Sr
1 1 1 1
Direct
0.7500 0.7500 0.7500 Be
0.2500 0.2500 0.2500 Mo
0.0000 0.0000 0.0000 Os
0.5000 0.5000 0.5000 Sr
```

Summary:
E: -6.122 eV/atom


[19]
# CsAsPt

A relaxed CsAsPt crystal (GGA-PBE, OQMD).

```
CsAsPt
1.0
4.5664 0.0648 2.0375
0.5749 -0.9378 4.8782
2.1336 -4.2700 1.4908
As Cs Pt
1 1 1
Direct
0.2500 0.2500 0.2500 As
0.7500 0.7500 0.7500 Cs
0.0000 0.0000 0.0000 Pt
```

Summary:
E: -3.245 eV/atom


[20]
# KRb3Zn2Ge2

A relaxed KRb3Zn2Ge2 crystal (GGA-PBE, OQMD).

```
KRb3Zn2Ge2
1.0
6.7392 0.0000 0.0000
0.0000 6.4293 0.0000
-2.1371 0.0000 6.4302
Ge K Rb Zn
2 1 3 2
Direct
0.2684 0.0000 0.2650 Ge
0.7265 0.5000 0.7366 Ge
0.3242 0.5000 0.9899 K
0.6763 0.0000 0.0119 Rb
0.9858 0.5000 0.3231 Rb
0.0170 0.0000 0.6792 Rb
0.5009 0.2501 0.4971 Zn
0.5009 0.7499 0.4971 Zn
```

Summary:
E: -2.088 eV/atom